(1)
LiMg30SbO32 | the Alexandria database | GGA-PBEsol | optimized geometry; raw formation energy = -16294 kJ/mol of formula units
1.0
8.485 0.000 0.000
0.000 8.485 0.000
0.000 0.000 8.476
Li Mg Sb O
1 30 1 32
direct
0.000 0.000 0.000
0.000 0.253 0.240
0.000 0.253 0.760
0.000 0.500 0.000
0.000 0.500 0.500
0.000 0.747 0.240
0.000 0.747 0.760
0.248 0.248 0.000
0.248 0.752 0.000
0.250 0.500 0.248
0.250 0.500 0.752
0.253 0.000 0.240
0.253 0.000 0.760
0.255 0.255 0.500
0.255 0.745 0.500
0.500 0.000 0.000
0.500 0.000 0.500
0.500 0.250 0.248
0.500 0.250 0.752
0.500 0.500 0.000
0.500 0.500 0.500
0.500 0.750 0.248
0.500 0.750 0.752
0.745 0.255 0.500
0.745 0.745 0.500
0.747 0.000 0.240
0.747 0.000 0.760
0.750 0.500 0.248
0.750 0.500 0.752
0.752 0.248 0.000
0.752 0.752 0.000
0.000 0.000 0.500
0.000 0.000 0.238
0.000 0.000 0.762
0.000 0.259 0.000
0.000 0.263 0.500
0.000 0.500 0.250
0.000 0.500 0.750
0.000 0.737 0.500
0.000 0.741 0.000
0.249 0.249 0.251
0.249 0.249 0.749
0.249 0.751 0.251
0.249 0.751 0.749
0.252 0.500 0.000
0.252 0.500 0.500
0.259 0.000 0.000
0.263 0.000 0.500
0.500 0.000 0.250
0.500 0.000 0.750
0.500 0.252 0.000
0.500 0.252 0.500
0.500 0.500 0.250
0.500 0.500 0.750
0.500 0.748 0.000
0.500 0.748 0.500
0.737 0.000 0.500
0.741 0.000 0.000
0.748 0.500 0.000
0.748 0.500 0.500
0.751 0.249 0.251
0.751 0.249 0.749
0.751 0.751 0.251
0.751 0.751 0.749


(2)
Li2MgSiO4 | the Alexandria database | GGA-PBEsol | optimized geometry; raw formation energy = -2024 kJ/mol of formula units
1.0
4.983 0.000 0.000
0.000 10.700 0.000
-4.912 0.000 6.282
Li Mg Si O
8 4 4 16
direct
0.033 0.075 0.237
0.033 0.425 0.737
0.188 0.162 0.997
0.188 0.338 0.497
0.812 0.662 0.503
0.812 0.838 0.003
0.967 0.575 0.263
0.967 0.925 0.763
0.308 0.665 0.000
0.308 0.835 0.500
0.692 0.165 0.500
0.692 0.335 0.000
0.436 0.087 0.749
0.436 0.413 0.249
0.564 0.587 0.751
0.564 0.913 0.251
0.105 0.090 0.749
0.105 0.410 0.249
0.244 0.661 0.538
0.244 0.839 0.038
0.327 0.159 0.532
0.327 0.341 0.032
0.455 0.058 0.248
0.455 0.442 0.748
0.545 0.558 0.252
0.545 0.942 0.752
0.673 0.659 0.968
0.673 0.841 0.468
0.756 0.161 0.962
0.756 0.339 0.462
0.895 0.590 0.751
0.895 0.910 0.251


(3)
Li2MgSiO4 | the Alexandria database | GGA-PBEsol | optimized geometry; raw formation energy = -2023 kJ/mol of formula units
1.0
10.705 0.000 0.000
0.000 4.983 0.000
0.000 0.000 6.279
Li Mg Si O
8 4 4 16
direct
0.075 0.207 0.000
0.161 0.808 0.249
0.339 0.308 0.749
0.425 0.707 0.500
0.575 0.293 0.000
0.661 0.692 0.249
0.839 0.192 0.749
0.925 0.793 0.500
0.166 0.808 0.746
0.334 0.308 0.246
0.666 0.692 0.746
0.834 0.192 0.246
0.086 0.312 0.498
0.414 0.812 0.998
0.586 0.188 0.498
0.914 0.688 0.998
0.058 0.794 0.996
0.090 0.643 0.499
0.159 0.205 0.282
0.161 0.205 0.712
0.339 0.705 0.212
0.341 0.705 0.782
0.410 0.143 0.999
0.442 0.294 0.496
0.558 0.706 0.996
0.590 0.857 0.499
0.659 0.295 0.282
0.661 0.295 0.712
0.839 0.795 0.212
0.841 0.795 0.782
0.910 0.357 0.999
0.942 0.206 0.496


(4)
Li2MgTi9O20 | the Alexandria database | GGA-PBEsol | optimized geometry; raw formation energy = -9187 kJ/mol of formula units
1.0
5.183 0.000 0.000
0.000 9.917 0.000
-2.511 0.000 6.968
Li Mg Ti O
2 1 9 20
direct
0.000 0.000 0.000
0.064 0.500 0.306
0.586 0.500 0.810
0.084 0.317 0.974
0.084 0.683 0.974
0.482 0.185 0.845
0.482 0.815 0.845
0.484 0.000 0.506
0.576 0.320 0.474
0.576 0.680 0.474
0.979 0.189 0.332
0.979 0.811 0.332
0.132 0.000 0.312
0.212 0.136 0.926
0.212 0.864 0.926
0.255 0.301 0.249
0.255 0.699 0.249
0.318 0.183 0.561
0.318 0.817 0.561
0.354 0.364 0.881
0.354 0.636 0.881
0.463 0.500 0.512
0.603 0.000 0.777
0.709 0.128 0.432
0.709 0.872 0.432
0.754 0.311 0.749
0.754 0.689 0.749
0.805 0.185 0.066
0.805 0.815 0.066
0.852 0.359 0.385
0.852 0.641 0.385
0.969 0.500 0.012


(5)
LiMg30TiO32 | the Alexandria database | GGA-PBEsol | optimized geometry; raw formation energy = -16818 kJ/mol of formula units
1.0
8.422 0.000 0.000
0.000 8.422 0.000
0.000 0.000 8.427
Li Mg Ti O
1 30 1 32
direct
0.000 0.000 0.000
0.000 0.000 0.500
0.000 0.246 0.247
0.000 0.246 0.753
0.000 0.500 0.000
0.000 0.500 0.500
0.000 0.754 0.247
0.000 0.754 0.753
0.244 0.244 0.000
0.244 0.756 0.000
0.246 0.000 0.247
0.246 0.000 0.753
0.247 0.500 0.252
0.247 0.500 0.748
0.249 0.249 0.500
0.249 0.751 0.500
0.500 0.000 0.000
0.500 0.000 0.500
0.500 0.247 0.252
0.500 0.247 0.748
0.500 0.500 0.500
0.500 0.753 0.252
0.500 0.753 0.748
0.751 0.249 0.500
0.751 0.751 0.500
0.753 0.500 0.252
0.753 0.500 0.748
0.754 0.000 0.247
0.754 0.000 0.753
0.756 0.244 0.000
0.756 0.756 0.000
0.500 0.500 0.000
0.000 0.000 0.255
0.000 0.000 0.745
0.000 0.252 0.500
0.000 0.258 0.000
0.000 0.500 0.250
0.000 0.500 0.750
0.000 0.742 0.000
0.000 0.748 0.500
0.251 0.251 0.249
0.251 0.251 0.751
0.251 0.500 0.500
0.251 0.749 0.249
0.251 0.749 0.751
0.252 0.000 0.500
0.257 0.500 0.000
0.258 0.000 0.000
0.500 0.000 0.250
0.500 0.000 0.750
0.500 0.251 0.500
0.500 0.257 0.000
0.500 0.500 0.249
0.500 0.500 0.751
0.500 0.743 0.000
0.500 0.749 0.500
0.742 0.000 0.000
0.743 0.500 0.000
0.748 0.000 0.500
0.749 0.251 0.249
0.749 0.251 0.751
0.749 0.500 0.500
0.749 0.749 0.249
0.749 0.749 0.751


(6)
Li2Mg3Ti6O16 | the Alexandria database | GGA-PBEsol | optimized geometry; raw formation energy = -7582 kJ/mol of formula units
1.0
8.368 0.000 0.000
0.000 8.392 0.000
-0.060 0.000 8.383
Li Mg Ti O
4 6 12 32
direct
0.002 0.000 0.246
0.374 0.631 0.874
0.626 0.131 0.126
0.998 0.500 0.754
0.247 0.255 0.994
0.253 0.761 0.498
0.496 0.007 0.748
0.504 0.507 0.252
0.747 0.261 0.502
0.753 0.755 0.006
0.114 0.132 0.613
0.118 0.870 0.867
0.128 0.626 0.125
0.361 0.390 0.623
0.366 0.139 0.370
0.376 0.882 0.120
0.624 0.382 0.880
0.634 0.639 0.630
0.639 0.890 0.377
0.872 0.126 0.875
0.882 0.370 0.133
0.886 0.632 0.387
0.107 0.645 0.357
0.110 0.117 0.863
0.110 0.402 0.112
0.122 0.651 0.891
0.141 0.867 0.110
0.143 0.117 0.395
0.143 0.900 0.648
0.146 0.360 0.640
0.357 0.645 0.130
0.362 0.885 0.895
0.365 0.145 0.611
0.372 0.118 0.142
0.387 0.896 0.360
0.389 0.360 0.392
0.389 0.611 0.621
0.396 0.377 0.860
0.604 0.877 0.140
0.611 0.111 0.379
0.611 0.860 0.608
0.613 0.396 0.640
0.628 0.618 0.858
0.635 0.645 0.389
0.638 0.385 0.105
0.643 0.145 0.870
0.854 0.860 0.360
0.857 0.400 0.352
0.857 0.617 0.605
0.859 0.367 0.890
0.878 0.151 0.109
0.890 0.617 0.137
0.890 0.902 0.888
0.893 0.145 0.643


(7)
Li3Mg3Ti6O16 | the Alexandria database | GGA-PBEsol | optimized geometry; raw formation energy = -7754 kJ/mol of formula units
1.0
8.371 0.000 0.000
0.000 8.376 0.000
-0.001 0.000 8.385
Li Mg Ti O
6 6 12 32
direct
0.124 0.000 0.375
0.249 0.877 0.000
0.374 0.253 0.874
0.626 0.753 0.126
0.751 0.377 0.000
0.876 0.500 0.625
0.001 0.626 0.249
0.252 0.375 0.497
0.499 0.628 0.750
0.501 0.128 0.250
0.748 0.875 0.503
0.999 0.126 0.751
0.118 0.502 0.873
0.120 0.745 0.628
0.128 0.246 0.117
0.366 0.007 0.629
0.369 0.757 0.363
0.384 0.502 0.116
0.616 0.002 0.884
0.631 0.257 0.637
0.634 0.507 0.371
0.872 0.746 0.883
0.880 0.245 0.372
0.882 0.002 0.127
0.106 0.252 0.361
0.109 0.019 0.125
0.110 0.743 0.864
0.127 0.267 0.887
0.127 0.512 0.640
0.139 0.490 0.115
0.142 0.749 0.392
0.144 0.989 0.624
0.358 0.268 0.127
0.361 0.504 0.893
0.363 0.764 0.614
0.375 0.736 0.144
0.380 0.982 0.390
0.387 0.514 0.363
0.391 0.232 0.620
0.393 0.000 0.857
0.607 0.500 0.143
0.609 0.732 0.380
0.613 0.014 0.637
0.620 0.482 0.610
0.625 0.236 0.856
0.637 0.264 0.386
0.639 0.004 0.107
0.642 0.768 0.873
0.856 0.489 0.376
0.858 0.249 0.608
0.861 0.990 0.885
0.873 0.012 0.360
0.873 0.767 0.113
0.890 0.243 0.136
0.891 0.519 0.875
0.894 0.752 0.639


(8)
LiMg30WO32 | the Alexandria database | GGA-PBEsol | optimized geometry; raw formation energy = -16356 kJ/mol of formula units
1.0
8.434 0.000 0.000
0.000 8.434 0.000
0.000 0.000 8.443
Li Mg W O
1 30 1 32
direct
0.000 0.000 0.000
0.000 0.250 0.243
0.000 0.250 0.757
0.000 0.500 0.000
0.000 0.500 0.500
0.000 0.750 0.243
0.000 0.750 0.757
0.247 0.247 0.000
0.247 0.753 0.000
0.250 0.000 0.243
0.250 0.000 0.757
0.250 0.500 0.249
0.250 0.500 0.751
0.253 0.253 0.500
0.253 0.747 0.500
0.500 0.000 0.000
0.500 0.000 0.500
0.500 0.250 0.249
0.500 0.250 0.751
0.500 0.500 0.000
0.500 0.500 0.500
0.500 0.750 0.249
0.500 0.750 0.751
0.747 0.253 0.500
0.747 0.747 0.500
0.750 0.000 0.243
0.750 0.000 0.757
0.750 0.500 0.249
0.750 0.500 0.751
0.753 0.247 0.000
0.753 0.753 0.000
0.000 0.000 0.500
0.000 0.000 0.251
0.000 0.000 0.749
0.000 0.252 0.500
0.000 0.256 0.000
0.000 0.500 0.252
0.000 0.500 0.748
0.000 0.744 0.000
0.000 0.748 0.500
0.249 0.249 0.251
0.249 0.249 0.749
0.249 0.751 0.251
0.249 0.751 0.749
0.250 0.500 0.500
0.251 0.500 0.000
0.252 0.000 0.500
0.256 0.000 0.000
0.500 0.000 0.252
0.500 0.000 0.748
0.500 0.250 0.500
0.500 0.251 0.000
0.500 0.500 0.251
0.500 0.500 0.749
0.500 0.749 0.000
0.500 0.750 0.500
0.744 0.000 0.000
0.748 0.000 0.500
0.749 0.500 0.000
0.750 0.500 0.500
0.751 0.249 0.251
0.751 0.249 0.749
0.751 0.751 0.251
0.751 0.751 0.749


> Which value of raw formation energy does entry 2 give?

-2024 kJ/mol of formula units